# CrNF3

An optimized crystal structure of CrNF3 (GGA+U, Alexandria).

Values from the calculation:
N(E_F) in states/eV/f.u.: 0.00
Magnetic moment in μB per cell: 6.000
Theoretical density in g/cm³: 3.338
Total energy in eV per atom: -5.32

abc: 3.9404 3.9404 3.9404
angles: 90.00 90.00 90.00
Fractional coordinates of all 5 atoms:
1 Cr 0.0000 0.0000 0.0000
2 N 0.5000 0.5000 0.5000
3 F 0.0000 0.0000 0.5000
4 F 0.0000 0.5000 0.0000
5 F 0.5000 0.0000 0.0000